# 1
Y2Zn6Cu3 | GGA-PBE | relaxed

**Fermi-level density of states**: 6.77 states/eV/cell
**Energy relative to the elements**: -5.00 kcal/mol of atoms
**Total magnetic moment**: 0.00 Bohr magnetons per cell

abc: 4.0505 7.4113 7.4113
angles: 120.00 90.00 90.00
With the nearest neighbours (Å) after each atom.
Positions (direct):
1 Y 0.0000 0.6667 0.3333  6 Cu 3.05, 9 Zn 3.09-3.37
2 Y 0.0000 0.3333 0.6667  6 Cu 3.05, 9 Zn 3.09-3.37
3 Zn 0.5000 0.7212 0.7212  3 Cu 2.44-2.59
4 Zn 0.5000 0.0000 0.2788  3 Cu 2.44-2.59
5 Zn 0.0000 0.2000 0.2000  2 Cu 2.47, 6 Zn 2.57-2.74
6 Zn 0.0000 0.8000 0.0000  2 Cu 2.47, 6 Zn 2.57-2.74
7 Zn 0.5000 0.2788 0.0000  3 Cu 2.44-2.59
8 Zn 0.0000 0.0000 0.8000  2 Cu 2.47, 6 Zn 2.57-2.74
9 Cu 0.5000 0.3918 0.3918  5 Zn 2.44-2.59
10 Cu 0.5000 0.6082 0.0000  5 Zn 2.44-2.59
11 Cu 0.5000 0.0000 0.6082  5 Zn 2.44-2.59



# 2
Ac6As2Rh3I | GGA-PBE | relaxed

**Formation energy (no corrections)**: -0.943 eV/atom
**Fermi-level density of states**: 5.22 states/eV/cell
**Total magnetic moment**: 0.00 Bohr magnetons per cell

abc: 4.3862 9.2555 10.1229
angles: 106.01 102.51 90.00
With the nearest neighbours (Å) after each atom.
Positions (direct):
1 Ac 0.3197 0.9206 0.6395  3 Rh 2.95-3.14, 2 As 3.23
2 Ac 0.6651 0.5859 0.3302  3 Rh 3.13-3.14, 3 As 3.25-3.26
3 Ac 0.6803 0.0794 0.3605  3 Rh 2.95-3.14, 2 As 3.23
4 Ac 0.9951 0.2827 0.9902  3 Rh 2.96-3.02, 1 As 3.24
5 Ac 0.0049 0.7173 0.0098  3 Rh 2.96-3.02, 1 As 3.24
6 Ac 0.3349 0.4141 0.6698  3 Rh 3.13-3.14, 3 As 3.25-3.26
7 As 0.8365 0.6762 0.6730  6 Ac 3.23-3.26
8 As 0.1635 0.3238 0.3270  6 Ac 3.23-3.26
9 Rh 0.5000 0.5000 0.0000  6 Ac 2.96-3.13
10 Rh 0.8359 0.1712 0.6717  6 Ac 2.95-3.14
11 Rh 0.1641 0.8288 0.3283  6 Ac 2.95-3.14
12 I 0.5000 0.0000 0.0000  6 Ac 3.43-3.44



# 3
BaLiAl2Pt | GGA-PBE | relaxed

**Fermi-level density of states**: 3.27 states/eV/cell
**Energy relative to the elements**: -11.94 kcal/mol of atoms
**Total magnetic moment**: 0.00 Bohr magnetons per cell

abc: 4.8312 4.8312 5.1225
angles: 90.00 90.00 90.00
With the nearest neighbours (Å) after each atom.
Positions (direct):
1 Li 0.0000 0.0000 0.5000  2 Pt 2.56
2 Ba 0.5000 0.5000 0.5000  4 Li 3.42, 8 Al 3.52
3 Pt 0.0000 0.0000 0.0000  4 Al 2.42, 2 Li 2.56
4 Al 0.0000 0.5000 0.0000  2 Pt 2.42
5 Al 0.5000 0.0000 0.0000  2 Pt 2.42



# 4
LiPd2Se2 | GGA-PBE | relaxed

**Formation energy (no corrections)**: -0.351 eV/atom
**Fermi-level density of states**: 3.37 states/eV/cell
**Total magnetic moment**: 0.00 Bohr magnetons per cell

abc: 4.0594 4.0594 6.6125
angles: 72.12 72.12 90.00
With the nearest neighbours (Å) after each atom.
Positions (direct):
1 Se 0.3858 0.3858 0.2284  4 Pd 2.60, 1 Se 2.72
2 Se 0.6142 0.6142 0.7716  4 Pd 2.60, 1 Se 2.72
3 Pd 0.7500 0.2500 0.5000  4 Se 2.60, 4 Pd 2.87
4 Pd 0.2500 0.7500 0.5000  4 Se 2.60, 4 Pd 2.87
5 Li 0.0000 0.0000 0.0000  8 Se 3.18



# 5
Cd3PdF | GGA-PBE | relaxed

**Formation energy (no corrections)**: -0.311 eV/atom
**Fermi-level density of states**: 1.54 states/eV/cell
**Total magnetic moment**: 0.00 Bohr magnetons per cell

abc: 5.1923 5.1923 5.1923
angles: 90.00 90.00 90.00
With the nearest neighbours (Å) after each atom.
Positions (direct):
1 F 0.5000 0.5000 0.5000  12 Cd 3.67
2 Pd 0.0000 0.0000 0.0000  6 Cd 2.60
3 Cd 0.0000 0.5000 0.0000  2 Pd 2.60
4 Cd 0.0000 0.0000 0.5000  2 Pd 2.60
5 Cd 0.5000 0.0000 0.0000  2 Pd 2.60



# 6
PIrRu | GGA-PBE | relaxed

**Fermi-level density of states**: 3.67 states/eV/cell
**Energy relative to the elements**: 5.82 kcal/mol of atoms
**Total magnetic moment**: 0.00 Bohr magnetons per cell

abc: 4.0903 4.0903 4.0903
angles: 60.00 60.00 60.00
With the nearest neighbours (Å) after each atom.
Positions (direct):
1 P 0.5000 0.5000 0.5000  4 Ru 2.50
2 Ir 0.0000 0.0000 0.0000  4 Ru 2.50
3 Ru 0.2500 0.2500 0.2500  4 Ir 2.50, 4 P 2.50



Repeat the sixth record exactly.
PIrRu | GGA-PBE | relaxed

**Fermi-level density of states**: 3.67 states/eV/cell
**Energy relative to the elements**: 5.82 kcal/mol of atoms
**Total magnetic moment**: 0.00 Bohr magnetons per cell

abc: 4.0903 4.0903 4.0903
angles: 60.00 60.00 60.00
With the nearest neighbours (Å) after each atom.
Positions (direct):
1 P 0.5000 0.5000 0.5000  4 Ru 2.50
2 Ir 0.0000 0.0000 0.0000  4 Ru 2.50
3 Ru 0.2500 0.2500 0.2500  4 Ir 2.50, 4 P 2.50



Among the records above, which one has the lowest Fermi-level density of states?
Cd3PdF